VASP calculation (GGA-PBEsol) on a geometry-optimized NaTlH2 structure.

a b c (Å): 4.361 4.361 4.361
angles (deg): 60.00 60.00 60.00
Fractional positions:
H 0.250 0.250 0.250
Na 0.000 0.000 0.000
H 0.750 0.750 0.750
Tl 0.500 0.500 0.500

Final energy, eV/cell: -9.68